1.
# Tm5BiPb2 PBE optimized geometry
data_Tm5BiPb2
_chemical_formula_sum 'Tm20 Bi4 Pb8'
_cell_length_a 5.550
_cell_length_b 11.480
_cell_length_c 15.066
_cell_angle_alpha 90.00
_cell_angle_beta 90.00
_cell_angle_gamma 90.00
_space_group_name_H-M_alt 'C m c m'
_space_group_IT_number 63
_space_group_name_Hall '-C 2c 2'
loop_
_atom_site_label
_atom_site_type_symbol
_atom_site_fract_x
_atom_site_fract_y
_atom_site_fract_z
_atom_site_occupancy
Tm1 Tm 0.000 0.056 0.250 1
Tm2 Tm 0.000 0.119 0.552 1
Tm3 Tm 0.000 0.426 0.595 1
Bi1 Bi 0.000 0.235 0.750 1
Pb1 Pb 0.000 0.285 0.115 1
# Formation energy in eV/atom: -0.17
# E in eV per cell: -140.21
# E above lowest polymorph in eV per formula unit: 2.28
# Fermi-level density of states in states/eV per atom: 1.00
# Volume in Å³ per cell: 960
# Total magnetization in μB per atom: 0.00

2.
# Tm5Bi6Pb PBE optimized geometry
data_Tm5Bi6Pb
_chemical_formula_sum 'Tm10 Bi12 Pb2'
_cell_length_a 7.765
_cell_length_b 13.470
_cell_length_c 7.780
_cell_angle_alpha 90.00
_cell_angle_beta 109.59
_cell_angle_gamma 90.00
_space_group_name_H-M_alt 'C 1 2/m 1'
_space_group_IT_number 12
_space_group_name_Hall '-C 2y'
loop_
_atom_site_label
_atom_site_type_symbol
_atom_site_fract_x
_atom_site_fract_y
_atom_site_fract_z
_atom_site_occupancy
Tm1 Tm 0.000 0.000 0.000 1
Tm2 Tm 0.000 0.170 0.500 1
Tm3 Tm 0.000 0.340 0.000 1
Bi1 Bi 0.239 0.000 0.752 1
Bi2 Bi 0.241 0.172 0.243 1
Pb1 Pb 0.000 0.500 0.500 1
# Formation energy in eV/atom: -0.59
# E in eV per cell: -112.78
# Fermi-level density of states in states/eV per atom: 0.41
# Volume in Å³ per cell: 767
# Total magnetization in μB per atom: 0.00

3.
# YTmBiPb PBE optimized geometry
data_YTmBiPb
_chemical_formula_sum 'Y1 Tm1 Bi1 Pb1'
_cell_length_a 4.460
_cell_length_b 4.445
_cell_length_c 6.274
_cell_angle_alpha 90.00
_cell_angle_beta 90.09
_cell_angle_gamma 90.00
_space_group_name_H-M_alt 'P 1 2/m 1'
_space_group_IT_number 10
_space_group_name_Hall '-P 2y'
loop_
_atom_site_label
_atom_site_type_symbol
_atom_site_fract_x
_atom_site_fract_y
_atom_site_fract_z
_atom_site_occupancy
Y1 Y 0.000 0.000 0.000 1
Tm1 Tm 0.500 0.500 0.500 1
Bi1 Bi 0.000 0.000 0.500 1
Pb1 Pb 0.500 0.500 0.000 1
# Formation energy in eV/atom: -0.57
# E in eV per cell: -20.80
# Fermi-level density of states in states/eV per atom: 0.73
# Volume in Å³ per cell: 124
# Total magnetization in μB per atom: 0.00

4.
# U2Bi5Pb PBE optimized geometry
data_U2Bi5Pb
_chemical_formula_sum 'U4 Bi10 Pb2'
_cell_length_a 8.263
_cell_length_b 13.272
_cell_length_c 4.504
_cell_angle_alpha 90.00
_cell_angle_beta 90.00
_cell_angle_gamma 90.00
_space_group_name_H-M_alt 'P b a m'
_space_group_IT_number 55
_space_group_name_Hall '-P 2 2ab'
loop_
_atom_site_label
_atom_site_type_symbol
_atom_site_fract_x
_atom_site_fract_y
_atom_site_fract_z
_atom_site_occupancy
U1 U 0.141 0.160 0.000 1
Bi1 Bi 0.000 0.000 0.500 1
Bi2 Bi 0.093 0.731 0.500 1
Bi3 Bi 0.237 0.408 0.000 1
Pb1 Pb 0.000 0.500 0.500 1
# Formation energy in eV/atom: 0.08
# E in eV per cell: -90.13
# Fermi-level density of states in states/eV per atom: 1.87
# Volume in Å³ per cell: 494
# Total magnetization in μB per atom: 0.62

5.
# UBi2Pb PBE optimized geometry
data_UBi2Pb
_chemical_formula_sum 'U3 Bi6 Pb3'
_cell_length_a 4.5604
_cell_length_b 4.5604
_cell_length_c 23.3515
_cell_angle_alpha 90.00
_cell_angle_beta 90.00
_cell_angle_gamma 120.00
_space_group_name_H-M_alt 'R 3 m'
_space_group_IT_number 160
_space_group_name_Hall 'R 3 -2"'
loop_
_atom_site_label
_atom_site_type_symbol
_atom_site_fract_x
_atom_site_fract_y
_atom_site_fract_z
_atom_site_occupancy
U1 U 0.0000 0.0000 0.0000 1
Bi1 Bi 0.0000 0.0000 0.4094 1
Bi2 Bi 0.0000 0.0000 0.5910 1
Pb1 Pb 0.0000 0.0000 0.8304 1
# Formation energy in eV/atom: 0.22
# E in eV per cell: -65.68
# E above lowest polymorph in eV per formula unit: 0.60
# Fermi-level density of states in states/eV per atom: 2.46
# Volume in Å³ per cell: 421
# Total magnetization in μB per atom: 0.51

6.
# UBi2Pb PBE optimized geometry
data_UBi2Pb
_chemical_formula_sum 'U1 Bi2 Pb1'
_cell_length_a 4.187
_cell_length_b 4.187
_cell_length_c 6.766
_cell_angle_alpha 90.00
_cell_angle_beta 90.00
_cell_angle_gamma 90.00
_space_group_name_H-M_alt 'P 4/m m m'
_space_group_IT_number 123
_space_group_name_Hall '-P 4 2'
loop_
_atom_site_label
_atom_site_type_symbol
_atom_site_fract_x
_atom_site_fract_y
_atom_site_fract_z
_atom_site_occupancy
U1 U 0.000 0.000 0.000 1
Bi1 Bi 0.500 0.500 0.235 1
Pb1 Pb 0.000 0.000 0.500 1
# Formation energy in eV/atom: 0.07
# E in eV per cell: -22.49
# E above lowest polymorph in eV per formula unit: 0.00
# Fermi-level density of states in states/eV per atom: 1.73
# Volume in Å³ per cell: 119
# Total magnetization in μB per atom: 0.65